VASP calculation (GGA-PBE) on crystalline GeOF2 at its relaxed geometry.

## Properties
The excess energy over the best structure of this formula in the dataset comes out at 1704 meV/atom. Its space group is No. 166. For the volume, the calculation gives 59.0 Å³/cell. As for the crystal system: trigonal. The calculation puts the calculated total energy at -3.687 eV per atom. For the calculated density, the calculation gives 3.56 Mg/m³.

a = 8.639 Å, b = 8.639 Å, c = 8.639 Å
α = 18.89°, β = 18.89°, γ = 18.89°
Positions (direct):
Ge (0.000, 0.000, 0.000)
O (0.500, 0.500, 0.500)
F (0.070, 0.070, 0.070)
F (0.930, 0.930, 0.930)